(1)
First-principles (PBE) data for a geometry-optimized TeOsBr2 structure, as listed in Alexandria.

## Properties
Raw formation energy, eV/atom: 0.067
Electronic total energy, eV per formula unit: -17.45

Cell and atoms, written as CIF:
```
data_TeOsBr2
_symmetry_space_group_name_H-M 'P 1'
_symmetry_Int_Tables_number 1
_symmetry_space_group_name_Hall 'P 1'
_cell_length_a 3.990
_cell_length_b 3.990
_cell_length_c 8.502
_cell_angle_alpha 89.79
_cell_angle_beta 89.79
_cell_angle_gamma 59.98
loop_
_atom_site_label
_atom_site_type_symbol
_atom_site_fract_x
_atom_site_fract_y
_atom_site_fract_z
Te1 Te 0.875 0.875 0.657
Os1 Os 0.542 0.542 0.529
Br1 Br 0.873 0.873 0.960
Br2 Br 0.210 0.210 0.355
```

***

(2)
First-principles (PBE) data for a geometry-optimized Th3ScCu7 structure, as listed in Alexandria.

## Properties
Calculated formation energy, kJ per mole of atoms: -9.8
Electronic total energy, eV per formula unit: -58.38

Cell and atoms, written as CIF:
```
data_Th3ScCu7
_symmetry_space_group_name_H-M 'P 1'
_symmetry_Int_Tables_number 1
_symmetry_space_group_name_Hall 'P 1'
_cell_length_a 3.569
_cell_length_b 9.919
_cell_length_c 12.486
_cell_angle_alpha 90.00
_cell_angle_beta 90.00
_cell_angle_gamma 100.37
loop_
_atom_site_label
_atom_site_type_symbol
_atom_site_fract_x
_atom_site_fract_y
_atom_site_fract_z
Th1 Th 0.119 0.238 0.451
Th2 Th 0.881 0.762 0.549
Th3 Th 0.237 0.474 0.750
Th4 Th 0.763 0.526 0.250
Th5 Th 0.119 0.238 0.049
Th6 Th 0.881 0.762 0.951
Sc1 Sc 0.972 0.945 0.250
Sc2 Sc 0.028 0.055 0.750
Cu1 Cu 0.411 0.821 0.750
Cu2 Cu 0.589 0.179 0.250
Cu3 Cu 0.500 0.999 0.406
Cu4 Cu 0.500 0.001 0.594
Cu5 Cu 0.500 0.001 0.906
Cu6 Cu 0.500 0.999 0.094
Cu7 Cu 0.379 0.759 0.348
Cu8 Cu 0.621 0.241 0.652
Cu9 Cu 0.274 0.548 0.448
Cu10 Cu 0.726 0.452 0.552
Cu11 Cu 0.726 0.452 0.948
Cu12 Cu 0.274 0.548 0.052
Cu13 Cu 0.379 0.759 0.152
Cu14 Cu 0.621 0.241 0.848
```

***

(3)
First-principles (PBE) data for a geometry-optimized NdPd6Pb2 structure, as listed in Alexandria.

## Properties
Calculated formation energy, kJ per mole of atoms: -7.7
Electronic total energy, eV per formula unit: -44.06

Cell and atoms, written as CIF:
```
data_NdPd6Pb2
_symmetry_space_group_name_H-M 'P 1'
_symmetry_Int_Tables_number 1
_symmetry_space_group_name_Hall 'P 1'
_cell_length_a 4.935
_cell_length_b 4.935
_cell_length_c 9.647
_cell_angle_alpha 90.00
_cell_angle_beta 90.00
_cell_angle_gamma 120.00
loop_
_atom_site_label
_atom_site_type_symbol
_atom_site_fract_x
_atom_site_fract_y
_atom_site_fract_z
Nd1 Nd 0.000 0.000 0.000
Pd1 Pd 0.659 0.000 0.240
Pd2 Pd 0.341 0.341 0.240
Pd3 Pd 0.000 0.659 0.240
Pd4 Pd 0.659 0.659 0.760
Pd5 Pd 0.000 0.341 0.760
Pd6 Pd 0.341 0.000 0.760
Pb1 Pb 0.333 0.667 0.500
Pb2 Pb 0.667 0.333 0.500
```